Density functional theory data (GGA+U) for crystalline PaMnGa2O8 at its relaxed geometry.

Output
As for the total energy: -7.0462 eV/atom. The calculation puts the size of the total moment at 0.210 μB/atom.

abc: 5.837 5.837 5.837
angles: 110.21 110.21 108.01
Positions (direct):
1 O 0.753 0.061 0.691
2 Ga 0.500 0.500 0.000
3 O 0.496 0.696 0.801
4 O 0.939 0.247 0.309
5 O 0.895 0.696 0.199
6 O 0.304 0.105 0.801
7 Ga 0.750 0.250 0.500
8 O 0.939 0.630 0.691
9 Mn 0.250 0.750 0.500
10 O 0.304 0.504 0.199
11 O 0.370 0.061 0.309
12 Pa 0.000 0.000 0.000